A relaxed structure of Li5Pb2Au2. Source: the Alexandria database, functional PBE.

ΔH_f (0 K): -0.33 eV/atom
V: 20.02 Å³ per atom

Cell lengths 15.238, 6.882, 6.874 Å; angles 90.00, 90.00, 90.00 degrees
Space group Cmce (No. 64)
One atom of each set of equivalent atoms:
Li (0.000, 0.000, 0.000) [4 per cell]
Li (0.117, 0.162, 0.335) [16 per cell]
Pb (0.220, 0.000, 0.000) [8 per cell]
Au (0.000, 0.142, 0.643) [8 per cell]